USnHg | GGA-PBE | relaxed

Properties
size of the total moment = 2.46 μB/f.u.
excess energy over the best structure of this formula in the dataset = 67 meV/atom

Unit cell a=5.080 b=5.080 c=5.080 alpha=60.00 beta=60.00 gamma=60.00
Positions (direct):
Hg 0.250 0.250 0.250
Sn 0.750 0.750 0.750
U 0.000 0.000 0.000